a) The following is a SCAN calculation of a PBEsol-optimized structure of MoIrBr2, from the Alexandria database.

Cell lengths 4.6270, 4.6270, 4.6270 Å; angles 60.00, 60.00, 60.00 degrees
Atoms (fractional coordinates):
Mo (0.0000, 0.0000, 0.0000)
Ir (0.7500, 0.7500, 0.7500)
Br (0.2500, 0.2500, 0.2500)
Br (0.5000, 0.5000, 0.5000)

Summary:
density of states at the Fermi level	4.336	states/eV/f.u.
crystal system	cubic



b) The following is a SCAN calculation of a PBEsol-optimized structure of MoIrBr2, from the Alexandria database.

Cell lengths 8.5903, 8.5903, 8.5903 Å; angles 20.39, 20.39, 20.39 degrees
Atoms (fractional coordinates):
Mo (0.0000, 0.0000, 0.0000)
Ir (0.5000, 0.5000, 0.5000)
Br (0.2574, 0.2574, 0.2574)
Br (0.7426, 0.7426, 0.7426)

Summary:
density of states at the Fermi level	2.825	states/eV/f.u.
crystal system	trigonal



The least stable of them is a).



a) The following is a SCAN calculation of a PBEsol-optimized structure of MoIrBr2, from the Alexandria database.

Cell lengths 3.0396, 4.3935, 5.2341 Å; angles 90.00, 94.02, 90.00 degrees
Atoms (fractional coordinates):
Mo (0.0000, 0.0000, 0.0000)
Ir (0.5000, 0.0000, 0.5000)
Br (0.2255, 0.5000, 0.2484)
Br (0.7745, 0.5000, 0.7516)

Summary:
density of states at the Fermi level	3.441	states/eV/f.u.
crystal system	monoclinic



b) The following is a SCAN calculation of a PBEsol-optimized structure of MoIrBr2, from the Alexandria database.

Cell lengths 7.2519, 7.2519, 7.2519 Å; angles 155.74, 145.66, 42.49 degrees
Atoms (fractional coordinates):
Mo (0.0000, 0.0000, 0.0000)
Ir (0.5000, 0.5000, 0.0000)
Br (0.1559, 0.6559, 0.5000)
Br (0.8441, 0.3441, 0.5000)

Summary:
density of states at the Fermi level	3.596	states/eV/f.u.
crystal system	orthorhombic



The least stable of them is a).



a) The following is a SCAN calculation of a PBEsol-optimized structure of NiIrBr2, from the Alexandria database.

Cell lengths 6.2316, 6.2316, 6.2316 Å; angles 146.97, 146.97, 47.40 degrees
Atoms (fractional coordinates):
Ni (0.0000, 0.0000, 0.0000)
Ir (0.2500, 0.7500, 0.5000)
Br (0.5000, 0.5000, 0.0000)
Br (0.7500, 0.2500, 0.5000)

Summary:
density of states at the Fermi level	2.611	states/eV/f.u.
crystal system	tetragonal



b) The following is a SCAN calculation of a PBEsol-optimized structure of NiIrBr2, from the Alexandria database.

Cell lengths 3.2185, 3.2185, 8.0252 Å; angles 90.00, 90.00, 124.31 degrees
Atoms (fractional coordinates):
Ni (0.0000, 0.0000, 0.0000)
Ir (0.0000, 0.0000, 0.5000)
Br (0.5000, 0.5000, 0.2335)
Br (0.5000, 0.5000, 0.7665)

Summary:
density of states at the Fermi level	2.815	states/eV/f.u.
crystal system	orthorhombic



The least stable of them is a).



a) The following is a SCAN calculation of a PBEsol-optimized structure of IrOs2Br, from the Alexandria database.

Cell lengths 2.7590, 3.7209, 6.3839 Å; angles 90.00, 90.00, 90.00 degrees
Atoms (fractional coordinates):
Ir (0.0000, 0.0000, 0.0000)
Os (0.5000, 0.5000, 0.1987)
Os (0.5000, 0.5000, 0.8013)
Br (0.5000, 0.0000, 0.5000)

Summary:
density of states at the Fermi level	2.861	states/eV/f.u.
crystal system	orthorhombic



b) The following is a SCAN calculation of a PBEsol-optimized structure of IrOs2Br, from the Alexandria database.

Cell lengths 5.9056, 5.9056, 5.9056 Å; angles 153.18, 136.22, 52.09 degrees
Atoms (fractional coordinates):
Ir (0.0000, 0.0000, 0.0000)
Os (0.2306, 0.7306, 0.5000)
Os (0.4349, 0.4349, 0.0000)
Br (0.7030, 0.2030, 0.5000)

Summary:
density of states at the Fermi level	3.123	states/eV/f.u.
crystal system	orthorhombic



c) The following is a SCAN calculation of a PBEsol-optimized structure of IrOs2Br, from the Alexandria database.

Cell lengths 2.7970, 2.7970, 7.6817 Å; angles 90.00, 90.00, 90.00 degrees
Atoms (fractional coordinates):
Ir (0.0000, 0.0000, 0.0000)
Os (0.5000, 0.5000, 0.2380)
Os (0.5000, 0.5000, 0.7620)
Br (0.0000, 0.0000, 0.5000)

Summary:
density of states at the Fermi level	3.604	states/eV/f.u.
crystal system	tetragonal



The least stable of them is c).



a) The following is a SCAN calculation of a PBEsol-optimized structure of PIr2Br, from the Alexandria database.

Cell lengths 4.3808, 4.3808, 4.3808 Å; angles 60.00, 60.00, 60.00 degrees
Atoms (fractional coordinates):
P (0.0000, 0.0000, 0.0000)
Ir (0.2500, 0.2500, 0.2500)
Ir (0.7500, 0.7500, 0.7500)
Br (0.5000, 0.5000, 0.5000)

Summary:
density of states at the Fermi level	2.925	states/eV/f.u.
crystal system	cubic



b) The following is a SCAN calculation of a PBEsol-optimized structure of PIr2Br, from the Alexandria database.

Cell lengths 2.8897, 3.5588, 6.9839 Å; angles 90.00, 90.00, 90.00 degrees
Atoms (fractional coordinates):
P (0.0000, 0.0000, 0.0000)
Ir (0.0000, 0.0000, 0.6682)
Ir (0.5000, 0.5000, 0.8962)
Br (0.5000, 0.5000, 0.4306)

Summary:
density of states at the Fermi level	2.767	states/eV/f.u.
crystal system	orthorhombic



c) The following is a SCAN calculation of a PBEsol-optimized structure of PIr2Br, from the Alexandria database.

Cell lengths 3.0447, 3.0447, 8.2787 Å; angles 90.00, 90.00, 122.70 degrees
Atoms (fractional coordinates):
P (0.0000, 0.0000, 0.0000)
Ir (0.5000, 0.5000, 0.2087)
Ir (0.5000, 0.5000, 0.7913)
Br (0.0000, 0.0000, 0.5000)

Summary:
density of states at the Fermi level	2.413	states/eV/f.u.
crystal system	orthorhombic



d) The following is a SCAN calculation of a PBEsol-optimized structure of PIr2Br, from the Alexandria database.

Cell lengths 2.8303, 4.2878, 5.0534 Å; angles 90.00, 90.00, 90.00 degrees
Atoms (fractional coordinates):
P (0.0000, 0.0000, 0.0000)
Ir (0.0000, 0.5000, 0.5000)
Ir (0.5000, 0.5000, 0.0000)
Br (0.5000, 0.0000, 0.5000)

Summary:
density of states at the Fermi level	2.529	states/eV/f.u.
crystal system	orthorhombic



The least stable of them is a).



a) The following is a SCAN calculation of a PBEsol-optimized structure of IrPtBr2, from the Alexandria database.

Cell lengths 6.0719, 6.0719, 6.0719 Å; angles 144.92, 144.92, 50.45 degrees
Atoms (fractional coordinates):
Ir (0.0000, 0.0000, 0.0000)
Pt (0.7500, 0.2500, 0.5000)
Br (0.2500, 0.7500, 0.5000)
Br (0.5000, 0.5000, 0.0000)

Summary:
density of states at the Fermi level	3.576	states/eV/f.u.
crystal system	tetragonal



b) The following is a SCAN calculation of a PBEsol-optimized structure of IrPtBr2, from the Alexandria database.

Cell lengths 3.1261, 3.1261, 7.9792 Å; angles 90.00, 90.00, 90.00 degrees
Atoms (fractional coordinates):
Ir (0.0000, 0.0000, 0.0000)
Pt (0.5000, 0.5000, 0.1894)
Br (0.0000, 0.0000, 0.4132)
Br (0.5000, 0.5000, 0.7934)

Summary:
density of states at the Fermi level	4.100	states/eV/f.u.
crystal system	tetragonal



c) The following is a SCAN calculation of a PBEsol-optimized structure of IrPtBr2, from the Alexandria database.

Cell lengths 3.1370, 3.1370, 8.7344 Å; angles 90.00, 90.00, 124.07 degrees
Atoms (fractional coordinates):
Ir (0.0000, 0.0000, 0.0000)
Pt (0.0000, 0.0000, 0.5000)
Br (0.5000, 0.5000, 0.2406)
Br (0.5000, 0.5000, 0.7594)

Summary:
density of states at the Fermi level	2.741	states/eV/f.u.
crystal system	orthorhombic



d) The following is a SCAN calculation of a PBEsol-optimized structure of IrPtBr2, from the Alexandria database.

Cell lengths 3.1423, 4.3620, 5.1804 Å; angles 90.00, 93.68, 90.00 degrees
Atoms (fractional coordinates):
Ir (0.0000, 0.0000, 0.0000)
Pt (0.5000, 0.0000, 0.5000)
Br (0.2338, 0.5000, 0.2457)
Br (0.7662, 0.5000, 0.7543)

Summary:
density of states at the Fermi level	3.166	states/eV/f.u.
crystal system	monoclinic



The least stable of them is a).